No. 1
Density functional theory data (GGA-PBE) for a relaxed structure of Fe5Co3.

The structure belongs to space group Pmmm (No. 47); the cell edges are 2.846, 4.025 and 8.049 Å and the angles 90.00°, 90.00° and 90.00°. The inequivalent atoms are Fe at (0.000, 0.000, 0.000), Fe at (0.000, 0.000, 0.500), Fe at (0.000, 0.500, 0.250), Fe at (0.500, 0.500, 0.000), Co at (0.500, 0.000, 0.251) and Co at (0.500, 0.500, 0.500).

The formation energy comes out at -42 kJ/mol of formula units. As for the mass density: 8.213 g/cm3.

No. 2
Density functional theory data (GGA-PBE) for a relaxed structure of Fe4Co5.

The structure belongs to space group Immm (No. 71); the cell edges are 2.838, 8.504 and 8.527 Å and the angles 90.00°, 90.00° and 90.00°. The inequivalent atoms are Fe at (0.000, 0.166, 0.166), Co at (0.000, 0.168, 0.500), Co at (0.000, 0.500, 0.168) and Co at (0.000, 0.500, 0.500).

The formation energy comes out at -9 kJ/mol of formula units. As for the mass density: 8.359 g/cm3.

No. 3
Density functional theory data (GGA-PBE) for a relaxed structure of Fe2Co13.

The structure belongs to space group P-1 (No. 2); the cell edges are 4.320, 5.597 and 7.482 Å and the angles 102.91°, 106.48° and 97.66°. The inequivalent atoms are Fe at (0.100, 0.205, 0.466), Co at (0.097, 0.199, 0.131), Co at (0.103, 0.202, 0.803), Co at (0.298, 0.600, 0.397), Co at (0.299, 0.599, 0.067), Co at (0.309, 0.603, 0.737), Co at (0.493, 0.998, 0.331) and Co at (0.500, 0.000, 0.000).

The formation energy comes out at 24 kJ/mol of formula units. As for the mass density: 8.820 g/cm3.

No. 4
Density functional theory data (GGA-PBE) for a relaxed structure of Fe4Co5.

The structure belongs to space group I4/mmm (No. 139); the cell edges are 8.550, 8.550 and 2.809 Å and the angles 90.00°, 90.00° and 90.00°. The inequivalent atoms are Fe at (0.000, 0.331, 0.000), Co at (0.000, 0.000, 0.000) and Co at (0.166, 0.166, 0.500).

The formation energy comes out at 8 kJ/mol of formula units. As for the mass density: 8.380 g/cm3.

No. 5
Density functional theory data (GGA-PBE) for a relaxed structure of Fe5Co2.

The structure belongs to space group P-1 (No. 2); the cell edges are 2.497, 6.171 and 6.173 Å and the angles 118.20°, 97.58° and 97.79°. The inequivalent atoms are Fe at (0.000, 0.000, 0.000), Fe at (0.147, 0.572, 0.858), Fe at (0.429, 0.716, 0.571) and Co at (0.289, 0.143, 0.715).

The formation energy comes out at -10 kJ/mol of formula units. As for the mass density: 8.145 g/cm3.

No. 6
Density functional theory data (GGA-PBE) for a relaxed structure of Fe5Co3.

The structure belongs to space group P4/mmm (No. 123); the cell edges are 2.843, 2.843 and 11.467 Å and the angles 90.00°, 90.00° and 90.00°. The inequivalent atoms are Fe at (0.000, 0.000, 0.000), Fe at (0.000, 0.000, 0.249), Fe at (0.500, 0.500, 0.376), Co at (0.000, 0.000, 0.500) and Co at (0.500, 0.500, 0.124).

The formation energy comes out at -33 kJ/mol of formula units. As for the mass density: 8.170 g/cm3.